VASP calculation (PBE) on a geometry-optimized SmHoLuIn structure.

Output
* volume: 114 Å³ per cell
* calculated density: 8.81 Mg/m³
* ΔE_f: -0.147 eV per atom

a = 5.4427 Å, b = 5.4427 Å, c = 5.4427 Å
α = 60.00°, β = 60.00°, γ = 60.00°
Positions (direct):
1 Lu 0.7500 0.7500 0.7500
2 Sm 0.5000 0.5000 0.5000
3 In 0.2500 0.2500 0.2500
4 Ho 0.0000 0.0000 0.0000